[1]
VASP calculation (PBE-GGA) on a relaxed structure of GaBiPb3.

```
10
Lattice="-3.8638 0.3025 -3.5080 0.3386 -7.4011 -1.0111 -5.0996 -0.9923 5.5404" Properties=species:S:1:pos:R:3 pbc="T T T"
Ga -6.1511 -5.0640 2.1175
Ga -0.7265 -3.8963 0.1244
Bi -2.6440 -5.7901 2.0792
Bi -3.9648 -3.2087 3.7678
Pb -5.0247 -7.7426 0.6397
Pb -2.1965 -1.4558 -1.9330
Pb -1.8435 -1.2350 1.5925
Pb -4.6691 -7.5130 4.1669
Pb -4.2139 -3.2569 0.1357
Pb -2.8845 -5.8165 -1.5580
```

Properties
* size of the total moment: 0.00 μB/atom
* relative energy among the computed polymorphs: 0 meV/atom
* DFT total energy: -3.556 eV per atom
* formation energy: 51 meV/atom
* DOS at the Fermi energy: 0.515 states/eV per atom



[2]
VASP calculation (PBE-GGA) on a relaxed structure of AlSbAs.

```
3
Lattice="6.1095 -0.3392 0.2754 5.2304 3.0996 0.7447 0.8791 -0.2471 3.4619" Properties=species:S:1:pos:R:3 pbc="T T T"
Sb 4.6912 0.8489 2.5721
As 7.2023 1.5708 1.9860
Al 1.2046 -0.1535 3.3859
```

Properties
* E_form (uncorrected): 0.0519 eV per atom
* size of the total moment: 0.00 μB/atom
* DFT total energy: -4.120 eV per atom
* DOS at the Fermi energy: 0.133 states/eV per atom



[3]
VASP calculation (PBE-GGA) on a relaxed structure of TaCu2P.

```
4
Lattice="-2.8794 0.2481 1.7672 1.7512 -0.2732 2.8918 0.5216 4.9636 0.1531" Properties=species:S:1:pos:R:3 pbc="T T T"
Cu 0.0030 0.0283 0.0009
Cu 0.2578 2.4535 0.0757
P -0.4337 1.2283 2.3677
Ta -0.1729 3.7101 2.4443
```

Properties
* size of the total moment: 0.00 μB/atom
* DFT total energy: -6.282 eV per atom
* formation energy: 82 meV/atom
* DOS at the Fermi energy: 0.869 states/eV per atom



[4]
VASP calculation (PBE-GGA) on a relaxed structure of KTaTiO5.

```
32
Lattice="-1.0534 3.4874 1.1548 -5.6465 -2.4077 2.1202 7.7273 -3.2561 16.8815" Properties=species:S:1:pos:R:3 pbc="T T T"
K -3.1447 -1.6419 5.2513
K 0.5105 -0.7886 6.0089
K 4.1721 -0.5346 14.9052
K 0.5169 -1.3878 14.1476
Ta 2.2583 -3.8949 16.9835
Ta 2.8908 -1.7679 11.1372
Ta -1.2309 1.7184 3.1730
Ta -1.8634 -0.4086 9.0193
Ti 5.3923 -3.0417 17.2657
Ti -0.7615 -2.8421 11.0496
Ti -4.3649 0.8652 2.8908
Ti 1.7889 0.6656 9.1069
O -3.8457 -0.7145 1.8113
O 2.7026 -1.0803 8.8891
O 4.8731 -1.4620 18.3452
O -1.6752 -1.0962 11.2674
O 1.1546 -3.7543 15.5520
O 3.2291 -2.2349 12.8561
O -0.1272 1.5778 4.6045
O -2.2017 0.0584 7.3004
O 6.5307 -2.3091 16.0918
O 0.9600 -2.3552 11.1497
O -5.5033 0.1326 4.0647
O 0.0674 0.1787 9.0068
O -0.9861 0.0432 2.1318
O -1.1735 -2.2713 8.9503
O 2.0135 -2.2197 18.0248
O 2.2009 0.0949 11.2062
O 3.9105 -3.1193 16.1484
O -0.9358 -3.4707 12.7888
O -2.8831 0.9428 4.0081
O 1.9632 1.2942 7.3677
```

Properties
* E_form (uncorrected): -2.8064 eV per atom
* size of the total moment: 0.00 μB/atom
* DFT total energy: -8.511 eV per atom
* DOS at the Fermi energy: 0.000 states/eV per atom



[5]
VASP calculation (PBE-GGA) on a relaxed structure of K2LiInAs2.

```
24
Lattice="10.2183 -0.0023 0.0000 -1.9520 10.0301 0.0000 0.0000 0.0000 6.4416" Properties=species:S:1:pos:R:3 pbc="T T T"
K 4.0587 9.2858 4.8312
K 8.3408 5.7559 1.6104
K 4.2076 0.7420 1.6104
K -0.0744 4.2719 4.8312
K 6.2362 3.2803 4.9848
K 8.1153 1.7313 1.7640
K 2.0302 6.7475 1.4568
K 0.1510 8.2965 4.6777
Li 5.1215 6.2129 0.0000
Li 7.2780 8.8288 3.2208
Li 3.1448 3.8149 0.0000
Li 0.9884 1.1990 3.2208
In 7.1761 8.7053 0.0000
In 5.2234 6.3364 3.2208
In 1.0902 1.3225 0.0000
In 3.0430 3.6914 3.2208
As 3.2971 1.4926 4.8312
As 0.8361 3.5213 1.6104
As 4.9692 8.5352 1.6104
As 7.4303 6.5065 4.8312
As 9.0274 0.9794 4.9481
As 5.3241 4.0322 1.7273
As -0.7611 9.0484 1.4935
As 2.9423 5.9956 4.7143
```

Properties
* size of the total moment: 0.00 μB/atom
* DFT total energy: -3.262 eV per atom
* formation energy: -571 meV/atom



[6]
VASP calculation (PBE-GGA) on a relaxed structure of CaRhBr2.

```
4
Lattice="-2.7194 -2.6585 0.8947 -0.0954 -1.1578 -3.7301 4.4684 -4.1733 1.1811" Properties=species:S:1:pos:R:3 pbc="T T T"
Ca 2.1682 -2.0249 0.5731
Rh 1.9498 -5.0436 -0.5303
Br 4.1394 -3.8659 1.0941
Br 0.0990 -3.3150 -1.0195
```

Properties
* E_form (uncorrected): -0.6630 eV per atom
* size of the total moment: 0.25 μB/atom
* relative energy among the computed polymorphs: 155 meV/atom
* DFT total energy: -3.838 eV per atom
* DOS at the Fermi energy: 0.818 states/eV per atom



[7]
VASP calculation (PBE-GGA) on a relaxed structure of Pm2SbSe4.

```
7
Lattice="-1.7652 -3.4220 -1.6711 6.2582 -3.8079 1.1868 -4.6922 1.8585 6.4225" Properties=species:S:1:pos:R:3 pbc="T T T"
Pm 1.1944 -4.4681 2.6165
Pm -1.3936 -0.9032 3.3218
Sb 0.0000 0.0000 0.0000
Se -3.8875 -2.3250 3.5960
Se 3.6883 -3.0464 2.3423
Se -0.6094 -2.7528 1.0092
Se 0.4102 -2.6186 4.9291
```

Properties
* E_form (uncorrected): -1.2400 eV per atom
* size of the total moment: 0.00 μB/atom
* DFT total energy: -5.177 eV per atom
* DOS at the Fermi energy: 0.475 states/eV per atom



[8]
VASP calculation (PBE-GGA) on a relaxed structure of Sr4ZnAs.

```
6
Lattice="2.8427 -4.5458 -4.5095 -1.0318 -6.8781 0.8411 -4.0851 -3.5036 -4.4852" Properties=species:S:1:pos:R:3 pbc="T T T"
Sr 0.5805 -7.8735 -5.3210
Sr -2.9077 -7.3488 -5.3088
Sr -1.3703 -9.0479 -2.6270
Sr -0.8508 -5.5847 -3.0505
Zn -1.7057 -11.1956 -6.1152
As 0.0000 0.0000 0.0000
```

Properties
* size of the total moment: 0.00 μB/atom
* DFT total energy: -1.664 eV per atom
* formation energy: 445 meV/atom
* DOS at the Fermi energy: 1.244 states/eV per atom



- The highest size of the total moment belongs to which entry?
  CaRhBr2